Below is a relaxed Pm5SmZn6 crystal, with properties calculated at the PBE-GGA level.

abc: 5.1617 7.3229 8.1708
angles: 90.00 71.59 90.00
Atoms (fractional coordinates):
Zn 0.8338 0.7507 0.3324
Zn 0.8338 0.2493 0.3324
Zn 0.5000 0.2490 0.0000
Zn 0.5000 0.7510 0.0000
Zn 0.1662 0.7507 0.6676
Zn 0.1662 0.2493 0.6676
Sm 0.0000 0.0000 0.0000
Pm 0.6669 0.5000 0.6663
Pm 0.3335 0.0000 0.3329
Pm 0.0000 0.5000 0.0000
Pm 0.6665 0.0000 0.6671
Pm 0.3331 0.5000 0.3337

Output
VASP energy: -3.326 eV per atom
calculated formation energy: -0.32 eV per atom
DOS(E_F): 13.66 states/eV/f.u.
space-group type: Cmmm